1.
A plane-wave DFT calculation with PBE was carried out for a relaxed CdRe2Ag crystal.

The structure in CIF format:
```
data_CdRe2Ag
_chemical_formula_sum 'Cd1 Re2 Ag1'
_cell_length_a 3.1752
_cell_length_b 3.1752
_cell_length_c 6.6589
_cell_angle_alpha 90.00
_cell_angle_beta 90.00
_cell_angle_gamma 90.00
_symmetry_space_group_name_H-M 'P 4/m m m'
_symmetry_Int_Tables_number 123
_symmetry_space_group_name_Hall '-P 4 2'
loop_
_atom_site_label
_atom_site_fract_x
_atom_site_fract_y
_atom_site_fract_z
Cd1 0.0000 0.0000 0.0000
Re1 0.5000 0.5000 0.2814
Ag1 0.0000 0.0000 0.5000
```

Properties
- Total magnetic moment: 0.00 Bohr magnetons per cell
- Final energy: -24.00 eV for the cell shown
- D(E_F): 0.422 states/eV per atom
- Calculated formation energy: 4.7 eV/f.u.


2.
A plane-wave DFT calculation with PBE was carried out for a relaxed NaLaAlTl crystal.

The structure in CIF format:
```
data_NaLaAlTl
_chemical_formula_sum 'Na4 La4 Al4 Tl4'
_cell_length_a 7.6074
_cell_length_b 7.6074
_cell_length_c 7.6074
_cell_angle_alpha 90.00
_cell_angle_beta 90.00
_cell_angle_gamma 90.00
_symmetry_space_group_name_H-M 'F -4 3 m'
_symmetry_Int_Tables_number 216
_symmetry_space_group_name_Hall 'F -4 2 3'
loop_
_atom_site_label
_atom_site_fract_x
_atom_site_fract_y
_atom_site_fract_z
Na1 0.0000 0.0000 0.0000
La1 0.0000 0.0000 0.5000
Al1 0.2500 0.2500 0.7500
Tl1 0.2500 0.2500 0.2500
```

Properties
- Total magnetic moment: 0.00 Bohr magnetons per cell
- Final energy: -52.05 eV for the cell shown
- D(E_F): 0.577 states/eV per atom
- Calculated formation energy: -0.7 eV/f.u.


3.
A plane-wave DFT calculation with PBE was carried out for a relaxed KCd2Co crystal.

The structure in CIF format:
```
data_KCd2Co
_chemical_formula_sum 'K2 Cd4 Co2'
_cell_length_a 2.9630
_cell_length_b 5.6573
_cell_length_c 11.4833
_cell_angle_alpha 90.00
_cell_angle_beta 90.00
_cell_angle_gamma 90.00
_symmetry_space_group_name_H-M 'I m m m'
_symmetry_Int_Tables_number 71
_symmetry_space_group_name_Hall '-I 2 2'
loop_
_atom_site_label
_atom_site_fract_x
_atom_site_fract_y
_atom_site_fract_z
K1 0.0000 0.0000 0.0000
Cd1 0.0000 0.5000 0.1940
Co1 0.0000 0.0000 0.5000
```

Properties
- Relative energy among the computed polymorphs: 100 meV/atom
- Total magnetic moment: 2.36 Bohr magnetons per cell
- Final energy: -16.72 eV for the cell shown
- D(E_F): 0.988 states/eV per atom
- Calculated formation energy: 1.7 eV/f.u.


4.
A plane-wave DFT calculation with PBE was carried out for a relaxed Ca2MgSn3Au4 crystal.

The structure in CIF format:
```
data_Ca2MgSn3Au4
_chemical_formula_sum 'Ca2 Mg1 Sn3 Au4'
_cell_length_a 4.5966
_cell_length_b 4.5966
_cell_length_c 11.4795
_cell_angle_alpha 90.00
_cell_angle_beta 90.00
_cell_angle_gamma 90.00
_symmetry_space_group_name_H-M 'P -4 m 2'
_symmetry_Int_Tables_number 115
_symmetry_space_group_name_Hall 'P -4 -2'
loop_
_atom_site_label
_atom_site_fract_x
_atom_site_fract_y
_atom_site_fract_z
Ca1 0.0000 0.5000 0.2340
Mg1 0.0000 0.0000 0.5000
Sn1 0.0000 0.5000 0.8639
Sn2 0.5000 0.5000 0.5000
Au1 0.0000 0.0000 0.0000
Au2 0.0000 0.5000 0.6325
Au3 0.5000 0.5000 0.0000
```

Properties
- Total magnetic moment: 0.00 Bohr magnetons per cell
- Final energy: -36.02 eV for the cell shown
- D(E_F): 0.468 states/eV per atom
- Calculated formation energy: -5.3 eV/f.u.


5.
A plane-wave DFT calculation with PBE was carried out for a relaxed As2OsPd2 crystal.

The structure in CIF format:
```
data_As2OsPd2
_chemical_formula_sum 'As4 Os2 Pd4'
_cell_length_a 7.1630
_cell_length_b 7.1630
_cell_length_c 3.1411
_cell_angle_alpha 90.00
_cell_angle_beta 90.00
_cell_angle_gamma 90.00
_symmetry_space_group_name_H-M 'P 4/m b m'
_symmetry_Int_Tables_number 127
_symmetry_space_group_name_Hall '-P 4 2ab'
loop_
_atom_site_label
_atom_site_fract_x
_atom_site_fract_y
_atom_site_fract_z
As1 0.1775 0.3225 0.0000
Os1 0.0000 0.0000 0.5000
Pd1 0.1323 0.6323 0.5000
```

Properties
- Relative energy among the computed polymorphs: 339 meV/atom
- Total magnetic moment: 0.00 Bohr magnetons per cell
- Final energy: -57.95 eV for the cell shown
- D(E_F): 0.712 states/eV per atom
- Calculated formation energy: 1.9 eV/f.u.


6.
A plane-wave DFT calculation with PBE was carried out for a relaxed KSiSbI2 crystal.

The structure in CIF format:
```
data_KSiSbI2
_chemical_formula_sum 'K1 Si1 Sb1 I2'
_cell_length_a 5.8843
_cell_length_b 5.8843
_cell_length_c 5.4661
_cell_angle_alpha 90.00
_cell_angle_beta 90.00
_cell_angle_gamma 90.00
_symmetry_space_group_name_H-M 'P 4/m m m'
_symmetry_Int_Tables_number 123
_symmetry_space_group_name_Hall '-P 4 2'
loop_
_atom_site_label
_atom_site_fract_x
_atom_site_fract_y
_atom_site_fract_z
K1 0.0000 0.0000 0.0000
Si1 0.5000 0.5000 0.5000
Sb1 0.5000 0.5000 0.0000
I1 0.0000 0.5000 0.5000
```

Properties
- Relative energy among the computed polymorphs: 0 meV/atom
- E_form (uncorrected): -14.0 kJ per mole of atoms
- Total magnetic moment: 1.57 Bohr magnetons per cell
- Final energy: -14.47 eV for the cell shown
- D(E_F): 0.586 states/eV per atom


7.
A plane-wave DFT calculation with PBE was carried out for a relaxed Dy3Y6Ho2Pu crystal.

The structure in CIF format:
```
data_Dy3Y6Ho2Pu
_chemical_formula_sum 'Dy6 Y12 Ho4 Pu2'
_cell_length_a 6.1394
_cell_length_b 10.6336
_cell_length_c 11.7160
_cell_angle_alpha 90.00
_cell_angle_beta 100.08
_cell_angle_gamma 90.00
_symmetry_space_group_name_H-M 'C 1 2/m 1'
_symmetry_Int_Tables_number 12
_symmetry_space_group_name_Hall '-C 2y'
loop_
_atom_site_label
_atom_site_fract_x
_atom_site_fract_y
_atom_site_fract_z
Dy1 0.0000 0.0000 0.0000
Dy2 0.0000 0.3328 0.0000
Y1 0.2473 0.5000 0.2521
Y2 0.2475 0.3351 0.7479
Ho1 0.0000 0.1666 0.5000
Pu1 0.0000 0.5000 0.5000
```

Properties
- Total magnetic moment: 13.02 Bohr magnetons per cell
- Final energy: -150.98 eV for the cell shown
- D(E_F): 2.104 states/eV per atom
- Calculated formation energy: 0.6 eV/f.u.


8.
A plane-wave DFT calculation with PBE was carried out for a relaxed PuVCr crystal.

The structure in CIF format:
```
data_PuVCr
_chemical_formula_sum 'Pu6 V6 Cr6'
_cell_length_a 4.2611
_cell_length_b 4.2611
_cell_length_c 18.0988
_cell_angle_alpha 90.00
_cell_angle_beta 90.00
_cell_angle_gamma 120.00
_symmetry_space_group_name_H-M 'R -3 m'
_symmetry_Int_Tables_number 166
_symmetry_space_group_name_Hall '-R 3 2"'
loop_
_atom_site_label
_atom_site_fract_x
_atom_site_fract_y
_atom_site_fract_z
Pu1 0.0000 0.0000 0.1720
V1 0.0000 0.0000 0.4234
Cr1 0.0000 0.0000 0.2967
```

Properties
- Relative energy among the computed polymorphs: 263 meV/atom
- Total magnetic moment: 0.00 Bohr magnetons per cell
- Final energy: -187.96 eV for the cell shown
- D(E_F): 1.831 states/eV per atom
- Calculated formation energy: 1.7 eV/f.u.


> The lowest D(E_F) belongs to which entry?

CdRe2Ag